<w>
This record from the Alexandria database describes a relaxed CaFeRh2 crystal. The functional is PBE.

Output
Space-group type: C2/m

a b c (Å): 4.5742 4.5742 5.4443
angles (deg): 77.29 77.29 38.81
Last column: nearest neighbours and their distance in Å.
Element x y z (fractional)
1 Ca 0.7500 0.7500 0.7500  6 Rh 2.89-2.95, 2 Ca 3.04, 4 Fe 3.12
2 Rh 0.9811 0.9811 0.0574  3 Fe 2.53-2.76, 2 Rh 2.67
3 Rh 0.5189 0.5189 0.4426  3 Fe 2.53-2.76, 2 Rh 2.67
4 Fe 0.2500 0.2500 0.2500  6 Rh 2.53-2.76

***

<x>
This record from the Alexandria database describes a relaxed CaFeRh2 crystal. The functional is PBE.

Output
Space-group type: F-43m

a b c (Å): 4.5208 4.5208 4.5208
angles (deg): 60.00 60.00 60.00
Last column: nearest neighbours and their distance in Å.
Element x y z (fractional)
1 Ca 0.5000 0.5000 0.5000  4 Fe 2.77, 4 Rh 2.77
2 Rh 0.0000 0.0000 0.0000  4 Fe 2.77, 4 Rh 2.77
3 Rh 0.2500 0.2500 0.2500  4 Ca 2.77, 4 Rh 2.77
4 Fe 0.7500 0.7500 0.7500  4 Rh 2.77, 4 Ca 2.77

***

<y>
This record from the Alexandria database describes a relaxed CaFeRh2 crystal. The functional is PBE.

Output
Space-group type: P4/mmm

a b c (Å): 4.5138 3.1848 4.5128
angles (deg): 90.01 90.00 90.00
Last column: nearest neighbours and their distance in Å.
Element x y z (fractional)
1 Ca 0.0000 0.6253 0.3746  8 Rh 2.76
2 Rh 0.0000 0.1252 0.8747  4 Fe 2.76, 4 Ca 2.76
3 Rh 0.5000 0.1252 0.3756  4 Fe 2.76-2.77, 4 Ca 2.76
4 Fe 0.5000 0.6243 0.8751  8 Rh 2.76-2.77

***

Relative energies with respect to the most stable structure, expressed in meV per atom: <w> 71; <x> 211; <y> 0.

***

<w>
This record from the Alexandria database describes a relaxed CaFeRh2 crystal. The functional is PBE.

Output
Space-group type: Pmm2

a b c (Å): 2.9253 3.7497 6.3337
angles (deg): 90.00 90.00 90.00
Last column: nearest neighbours and their distance in Å.
Element x y z (fractional)
1 Ca 0.0000 0.0000 0.4857  2 Ca 2.93, 6 Rh 2.94-3.25, 4 Fe 3.22
2 Rh 0.0000 0.0000 0.9722  4 Fe 2.55, 4 Rh 2.83
3 Rh 0.5000 0.5000 0.2138  1 Fe 2.44
4 Fe 0.5000 0.5000 0.8283  5 Rh 2.44-2.55

***

<x>
This record from the Alexandria database describes a relaxed CaFeRh2 crystal. The functional is PBE.

Output
Space-group type: Fm-3m

a b c (Å): 4.5093 4.5093 4.5093
angles (deg): 60.00 60.00 60.00
Last column: nearest neighbours and their distance in Å.
Element x y z (fractional)
1 Ca 0.0000 0.0000 0.0000  8 Rh 2.76
2 Rh 0.2500 0.2500 0.2500  4 Fe 2.76, 4 Ca 2.76
3 Rh 0.7500 0.7500 0.7500  4 Fe 2.76, 4 Ca 2.76
4 Fe 0.5000 0.5000 0.5000  8 Rh 2.76

***

<y>
This record from the Alexandria database describes a relaxed CaFeRh2 crystal. The functional is PBE.

Output
Space-group type: I-4m2

a b c (Å): 5.1251 5.1251 5.1251
angles (deg): 135.18 135.18 65.25
Last column: nearest neighbours and their distance in Å.
Element x y z (fractional)
1 Ca 0.5000 0.5000 0.0000  8 Rh 2.76-2.91, 4 Fe 2.91
2 Rh 0.0000 0.0000 0.0000  4 Ca 2.76, 4 Rh 2.91, 4 Fe 2.91
3 Rh 0.2500 0.7500 0.5000  4 Fe 2.76, 4 Ca 2.91, 4 Rh 2.91
4 Fe 0.7500 0.2500 0.5000  8 Rh 2.76-2.91, 4 Ca 2.91

***

Relative energies with respect to the most stable structure, expressed in meV per atom: <w> 134; <x> 0; <y> 170.

***

<w>
This record from the Alexandria database describes a relaxed CaFeRu crystal. The functional is PBE.

Output
Space-group type: Pnma

a b c (Å): 6.9897 4.1448 7.4404
angles (deg): 90.00 90.00 90.00
Last column: nearest neighbours and their distance in Å.
Element x y z (fractional)
1 Ru 0.1588 0.2500 0.4248  3 Fe 2.26-2.37
2 Ru 0.3412 0.7500 0.9248  3 Fe 2.26-2.37
3 Ru 0.8412 0.7500 0.5752  3 Fe 2.26-2.37
4 Ru 0.6588 0.2500 0.0752  3 Fe 2.26-2.37
5 Ca 0.0027 0.2500 0.8197  6 Fe 2.96-3.23, 6 Ru 2.98-3.24
6 Ca 0.4973 0.7500 0.3197  6 Fe 2.96-3.23, 6 Ru 2.98-3.24
7 Ca 0.9973 0.7500 0.1803  6 Fe 2.96-3.23, 6 Ru 2.98-3.24
8 Ca 0.5027 0.2500 0.6803  6 Fe 2.96-3.23, 6 Ru 2.98-3.24
9 Fe 0.8349 0.2500 0.4202  3 Ru 2.26-2.37
10 Fe 0.6651 0.7500 0.9202  3 Ru 2.26-2.37
11 Fe 0.1651 0.7500 0.5798  3 Ru 2.26-2.37
12 Fe 0.3349 0.2500 0.0798  3 Ru 2.26-2.37

***

<x>
This record from the Alexandria database describes a relaxed CaFeRu crystal. The functional is PBE.

Output
Space-group type: P6_3/mmc

a b c (Å): 3.8791 3.8791 9.3289
angles (deg): 90.00 90.00 120.00
Last column: nearest neighbours and their distance in Å.
Element x y z (fractional)
1 Ru 0.3333 0.6667 0.7500  3 Fe 2.24
2 Ru 0.6667 0.3333 0.2500  3 Fe 2.24
3 Ca 0.0000 0.0000 0.0000  6 Fe 3.23, 6 Ru 3.23
4 Ca 0.0000 0.0000 0.5000  6 Fe 3.23, 6 Ru 3.23
5 Fe 0.3333 0.6667 0.2500  3 Ru 2.24
6 Fe 0.6667 0.3333 0.7500  3 Ru 2.24

***

<y>
This record from the Alexandria database describes a relaxed CaFeRu crystal. The functional is PBE.

Output
Space-group type: P2_1/m

a b c (Å): 4.2466 5.0185 5.6110
angles (deg): 77.87 90.00 90.00
Last column: nearest neighbours and their distance in Å.
Element x y z (fractional)
1 Ru 0.5995 0.2400 0.2487  4 Fe 2.49-2.57, 2 Ru 2.64, 1 Ca 2.77
2 Ru 0.0994 0.0171 0.0898  4 Fe 2.49-2.57, 2 Ru 2.64, 1 Ca 2.77
3 Ca 0.5994 0.3642 0.7440  2 Ru 2.77-2.97
4 Ca 0.0994 0.8925 0.5945  2 Ru 2.77-2.97
5 Fe 0.5994 0.7546 0.1655  2 Fe 2.47, 4 Ru 2.49-2.57
6 Fe 0.0993 0.5027 0.1725  2 Fe 2.47, 4 Ru 2.49-2.57

***

<z>
This record from the Alexandria database describes a relaxed CaFeRu crystal. The functional is PBE.

Output
Space-group type: I4mm

a b c (Å): 5.7541 5.7551 5.7551
angles (deg): 146.81 146.81 47.65
Last column: nearest neighbours and their distance in Å.
Element x y z (fractional)
1 Ru 0.7102 0.7101 0.0000  4 Fe 2.46-2.47
2 Ca 0.0019 0.0018 0.0000  5 Fe 3.01-3.24, 5 Ru 3.07-3.20, 4 Ca 3.29
3 Fe 0.2880 0.2880 0.9999  4 Ru 2.46-2.47

***

Relative energies with respect to the most stable structure, expressed in meV per atom: <w> 19; <x> 123; <y> 0; <z> 94.

***

<w>
This record from the Alexandria database describes a relaxed CaFeRu3 crystal. The functional is PBE.

Output
Space-group type: Pm-3m

a b c (Å): 4.4931 4.4931 4.4931
angles (deg): 90.00 90.00 90.00
Last column: nearest neighbours and their distance in Å.
Element x y z (fractional)
1 Ru 0.0000 0.5000 0.0000  2 Fe 2.25
2 Ru 0.0000 0.0000 0.5000  2 Fe 2.25
3 Ru 0.5000 0.0000 0.0000  2 Fe 2.25
4 Ca 0.5000 0.5000 0.5000  12 Ru 3.18
5 Fe 0.0000 0.0000 0.0000  6 Ru 2.25

***

<x>
This record from the Alexandria database describes a relaxed CaFeRu3 crystal. The functional is PBE.

Output
Space-group type: Pm-3m

a b c (Å): 4.5610 4.5610 4.5610
angles (deg): 90.00 90.00 90.00
Last column: nearest neighbours and their distance in Å.
Element x y z (fractional)
1 Ru 0.0000 0.5000 0.0000  2 Ca 2.28
2 Ru 0.0000 0.0000 0.5000  2 Ca 2.28
3 Ru 0.5000 0.0000 0.0000  2 Ca 2.28
4 Ca 0.0000 0.0000 0.0000  6 Ru 2.28
5 Fe 0.5000 0.5000 0.5000  12 Ru 3.23

***

Relative energies with respect to the most stable structure, expressed in meV per atom: <w> 0; <x> 1903.

***

<w>
This record from the Alexandria database describes a relaxed CaFe2S4 crystal. The functional is PBE.

Output
Space-group type: I4_1/amd

a b c (Å): 7.3721 7.3721 7.3721
angles (deg): 125.50 125.50 80.71
Last column: nearest neighbours and their distance in Å.
Element x y z (fractional)
1 Ca 0.2500 0.7500 0.5000  4 S 2.62
2 Ca 0.5000 0.5000 0.0000  4 S 2.62
3 Fe 0.3750 0.1250 0.2500  6 S 2.33-2.35
4 Fe 0.8750 0.6250 0.7500  6 S 2.33-2.35
5 Fe 0.8750 0.1250 0.7500  6 S 2.33-2.35
6 Fe 0.8750 0.1250 0.2500  6 S 2.33-2.35
7 S 0.6665 0.9382 0.2717  3 Fe 2.33-2.35
8 S 0.0618 0.3335 0.7283  3 Fe 2.33-2.35
9 S 0.6051 0.3335 0.2717  3 Fe 2.33-2.35
10 S 0.0835 0.3118 0.2283  3 Fe 2.33-2.35
11 S 0.0835 0.8551 0.7717  3 Fe 2.33-2.35
12 S 0.6882 0.9165 0.7717  3 Fe 2.33-2.35
13 S 0.6665 0.3949 0.7283  3 Fe 2.33-2.35
14 S 0.1449 0.9165 0.2283  3 Fe 2.33-2.35

***

<x>
This record from the Alexandria database describes a relaxed CaFe2S4 crystal. The functional is PBE.

Output
Space-group type: Fd-3m

a b c (Å): 7.2042 7.2042 7.2042
angles (deg): 60.00 60.00 60.00
Last column: nearest neighbours and their distance in Å.
Element x y z (fractional)
1 Ca 0.0000 0.0000 0.0000  4 S 2.61
2 Ca 0.2500 0.2500 0.2500  4 S 2.61
3 Fe 0.6250 0.6250 0.6250  6 S 2.34
4 Fe 0.6250 0.1250 0.6250  6 S 2.34
5 Fe 0.6250 0.6250 0.1250  6 S 2.34
6 Fe 0.1250 0.6250 0.6250  6 S 2.34
7 S 0.8520 0.8520 0.8520  3 Fe 2.34, 1 Ca 2.61
8 S 0.3980 0.8059 0.3980  3 Fe 2.34, 1 Ca 2.61
9 S 0.8059 0.3980 0.3980  3 Fe 2.34, 1 Ca 2.61
10 S 0.3980 0.3980 0.8059  3 Fe 2.34, 1 Ca 2.61
11 S 0.4441 0.8520 0.8520  3 Fe 2.34, 1 Ca 2.61
12 S 0.8520 0.8520 0.4441  3 Fe 2.34, 1 Ca 2.61
13 S 0.3980 0.3980 0.3980  3 Fe 2.34, 1 Ca 2.61
14 S 0.8520 0.4441 0.8520  3 Fe 2.34, 1 Ca 2.61

***

<y>
This record from the Alexandria database describes a relaxed CaFe2S4 crystal. The functional is PBE.

Output
Space-group type: Imma

a b c (Å): 7.0415 7.0415 7.0415
angles (deg): 121.69 117.83 90.45
Last column: nearest neighbours and their distance in Å.
Element x y z (fractional)
1 Ca 0.0000 0.0000 0.0000  6 S 2.70
2 Ca 0.5000 0.0000 0.5000  6 S 2.70
3 Fe 0.0000 0.5000 0.0000  6 S 2.34-2.36
4 Fe 0.0000 0.5000 0.5000  6 S 2.28-2.32
5 Fe 0.0000 0.0000 0.5000  6 S 2.34-2.36
6 Fe 0.5000 0.5000 0.0000  6 S 2.28-2.32
7 S 0.2385 0.2716 0.9669  3 Fe 2.28-2.34
8 S 0.2363 0.6954 0.9590  3 Fe 2.32-2.36
9 S 0.8046 0.2716 0.5331  3 Fe 2.28-2.34
10 S 0.7637 0.7227 0.4590  3 Fe 2.32-2.36
11 S 0.1954 0.7284 0.4669  3 Fe 2.28-2.34
12 S 0.7637 0.3046 0.0410  3 Fe 2.32-2.36
13 S 0.2363 0.2773 0.5410  3 Fe 2.32-2.36
14 S 0.7615 0.7284 0.0331  3 Fe 2.28-2.34

***

Relative energies with respect to the most stable structure, expressed in meV per atom: <w> 98; <x> 105; <y> 0.

***

<w>
This record from the Alexandria database describes a relaxed CaFeSbTe2 crystal. The functional is PBE.

Output
Space-group type: P4/mmm

a b c (Å): 5.7424 5.7424 5.7231
angles (deg): 90.00 90.00 90.00
Last column: nearest neighbours and their distance in Å.
Element x y z (fractional)
1 Sb 0.0000 0.0000 0.5000  2 Ca 2.86
2 Ca 0.0000 0.0000 0.0000  2 Sb 2.86, 4 Te 2.87
3 Te 0.0000 0.5000 0.0000  2 Ca 2.87
4 Te 0.5000 0.0000 0.0000  2 Ca 2.87
5 Fe 0.5000 0.5000 0.5000  8 Te 4.05, 4 Sb 4.06

***

<x>
This record from the Alexandria database describes a relaxed CaFeSbTe2 crystal. The functional is PBE.

Output
Space-group type: P4/mmm

a b c (Å): 5.4341 5.4341 4.8234
angles (deg): 90.00 90.00 90.00
Last column: nearest neighbours and their distance in Å.
Element x y z (fractional)
1 Sb 0.0000 0.0000 0.5000  2 Fe 2.41
2 Ca 0.5000 0.5000 0.5000  8 Te 3.63, 4 Sb 3.84
3 Te 0.0000 0.5000 0.0000  2 Fe 2.72
4 Te 0.5000 0.0000 0.0000  2 Fe 2.72
5 Fe 0.0000 0.0000 0.0000  2 Sb 2.41

***

Relative energies with respect to the most stable structure, expressed in meV per atom: <w> 1038; <x> 0.

***

<w>
This record from the Alexandria database describes a relaxed Ca3ScFe crystal. The functional is PBE.

Output
Space-group type: Pm-3m

a b c (Å): 5.9051 5.9051 5.9051
angles (deg): 90.00 90.00 90.00
Last column: nearest neighbours and their distance in Å.
Element x y z (fractional)
1 Sc 0.0000 0.0000 0.0000  6 Ca 2.95
2 Ca 0.0000 0.5000 0.0000  2 Sc 2.95
3 Ca 0.0000 0.0000 0.5000  2 Sc 2.95
4 Ca 0.5000 0.0000 0.0000  2 Sc 2.95
5 Fe 0.5000 0.5000 0.5000  12 Ca 4.18

***

<x>
This record from the Alexandria database describes a relaxed Ca3ScFe crystal. The functional is PBE.

Output
Space-group type: Pm-3m

a b c (Å): 5.3672 5.3672 5.3672
angles (deg): 90.00 90.00 90.00
Last column: nearest neighbours and their distance in Å.
Element x y z (fractional)
1 Sc 0.5000 0.5000 0.5000  12 Ca 3.80
2 Ca 0.0000 0.5000 0.0000  2 Fe 2.68
3 Ca 0.0000 0.0000 0.5000  2 Fe 2.68
4 Ca 0.5000 0.0000 0.0000  2 Fe 2.68
5 Fe 0.0000 0.0000 0.0000  6 Ca 2.68

***

Relative energies with respect to the most stable structure, expressed in meV per atom: <w> 709; <x> 0.

***

<w>
This record from the Alexandria database describes a relaxed Ca2ScFe crystal. The functional is PBE.

Output
Space-group type: P4/mmm

a b c (Å): 4.6221 4.6221 4.8633
angles (deg): 90.00 90.00 90.00
Last column: nearest neighbours and their distance in Å.
Element x y z (fractional)
1 Sc 0.0000 0.5000 0.5000  4 Fe 3.27, 8 Ca 3.35
2 Ca 0.0000 0.0000 0.0000  4 Ca 3.27, 4 Fe 3.35, 4 Sc 3.35
3 Ca 0.5000 0.5000 0.0000  4 Ca 3.27, 4 Fe 3.35, 4 Sc 3.35
4 Fe 0.5000 0.0000 0.5000  4 Sc 3.27, 8 Ca 3.35

***

<x>
This record from the Alexandria database describes a relaxed Ca2ScFe crystal. The functional is PBE.

Output
Space-group type: I-42d

a b c (Å): 10.5072 10.5072 7.7764
angles (deg): 47.50 47.50 90.00
Last column: nearest neighbours and their distance in Å.
Element x y z (fractional)
1 Sc 0.5000 0.5000 0.0000  2 Fe 2.30
2 Sc 0.2500 0.7500 0.5000  2 Fe 2.30
3 Ca 0.7774 0.1250 0.2500  2 Fe 2.88
4 Ca 0.9726 0.6250 0.2500  2 Fe 2.88
5 Ca 0.3750 0.2226 0.7500  2 Fe 2.88
6 Ca 0.8750 0.0274 0.7500  2 Fe 2.88
7 Fe 0.0000 0.0000 0.0000  2 Sc 2.30
8 Fe 0.7500 0.2500 0.5000  2 Sc 2.30

***

<y>
This record from the Alexandria database describes a relaxed Ca2ScFe crystal. The functional is PBE.

Output
Space-group type: Fm-3m

a b c (Å): 5.1553 5.1553 5.1553
angles (deg): 60.00 60.00 60.00
Last column: nearest neighbours and their distance in Å.
Element x y z (fractional)
1 Sc 0.0000 0.0000 0.0000  8 Ca 3.16
2 Ca 0.2500 0.2500 0.2500  4 Fe 3.16, 4 Sc 3.16
3 Ca 0.7500 0.7500 0.7500  4 Fe 3.16, 4 Sc 3.16
4 Fe 0.5000 0.5000 0.5000  8 Ca 3.16

***

Relative energies with respect to the most stable structure, expressed in meV per atom: <w> 0; <x> 55; <y> 235.